Entry 1:
LaSiGe2Ir: relaxed, PBE-GGA.

abc: 5.908 5.908 5.908
angles: 136.05 136.05 63.91
Fractional positions:
Si: 0.000 0.000 0.000
Ir: 0.232 0.232 0.000
La: 0.580 0.580 0.000
Ge: 0.846 0.346 0.500
Ge: 0.346 0.846 0.500

Calculated values
- symmetry = No. 107
- uncorrected energy (eV for the cell shown) = -32.235
- crystal system = tetragonal



Entry 2:
DyTmSc: relaxed, PBE-GGA.

abc: 5.208 5.208 5.208
angles: 60.00 60.00 60.00
Fractional positions:
Sc: 0.000 0.000 0.000
Tm: 0.750 0.750 0.750
Dy: 0.250 0.250 0.250

Calculated values
- symmetry = No. 216
- uncorrected energy (eV for the cell shown) = -13.326
- crystal system = cubic
- offset from the most stable computed form (meV/atom) = 0
- ΔE_f (eV per atom) = 0.693



Entry 3:
PrMgPO: relaxed, PBE-GGA.

abc: 4.553 6.210 5.921
angles: 90.00 90.00 90.00
Fractional positions:
O: 0.500 0.847 0.372
O: 0.500 0.153 0.872
P: 0.000 0.732 0.924
Mg: 0.500 0.131 0.531
P: 0.000 0.268 0.424
Pr: 0.000 0.263 0.928
Mg: 0.500 0.869 0.031
Pr: 0.000 0.737 0.428

Calculated values
- symmetry = No. 26
- uncorrected energy (eV for the cell shown) = -48.711
- crystal system = orthorhombic



Entry 4:
PdSeS: relaxed, PBE-GGA.

abc: 6.121 6.121 6.121
angles: 90.00 90.00 90.00
Fractional positions:
Se: 0.892 0.608 0.392
Pd: 0.993 0.007 0.507
Pd: 0.007 0.507 0.993
Se: 0.392 0.892 0.608
S: 0.604 0.104 0.396
S: 0.104 0.396 0.604
S: 0.396 0.604 0.104
S: 0.896 0.896 0.896
Se: 0.108 0.108 0.108
Pd: 0.507 0.993 0.007
Pd: 0.493 0.493 0.493
Se: 0.608 0.392 0.892

Calculated values
- symmetry = No. 198
- uncorrected energy (eV for the cell shown) = -53.727
- crystal system = cubic
- offset from the most stable computed form (meV/atom) = 0